This record from the Alexandria database describes a relaxed structure of NdAl8Co2. The functional is PBEsol.

Unit cell a=4.0035 b=12.4911 c=14.3933 alpha=90.00 beta=90.00 gamma=90.00
Last column: nearest neighbours and their distance in Å.
Element x y z (fractional)
Al1 0.5000 0.3307 0.4920  2 Co 2.51, 3 Al 2.69-2.73
Nd1 0.0000 0.6597 0.6810  13 Al 3.14-3.36
Al2 0.5000 0.4742 0.6317  2 Co 2.60, 7 Al 2.69-2.87
Nd2 0.0000 0.1597 0.8190  13 Al 3.14-3.36
Al3 0.0000 0.4037 0.7527  2 Co 2.34-2.36
Al4 0.5000 0.1591 0.3792  2 Co 2.57, 5 Al 2.64-2.82
Al5 0.5000 0.5000 0.0000  4 Co 2.46, 4 Al 2.64-2.65
Al6 0.0000 0.6597 0.9555  3 Co 2.47-2.54
Co1 0.0000 0.1521 0.0961  9 Al 2.35-2.60
Nd3 0.0000 0.8403 0.1810  13 Al 3.14-3.36
Al7 0.0000 0.3403 0.0445  3 Co 2.47-2.54
Al8 0.5000 0.6591 0.1208  2 Co 2.57, 5 Al 2.64-2.82
Al9 0.0000 0.0963 0.2527  2 Co 2.34-2.36
Al10 0.5000 0.0474 0.6796  2 Co 2.56, 6 Al 2.65-2.87
Co2 0.0000 0.0343 0.4058  9 Al 2.34-2.57
Al11 0.5000 0.2360 0.1726  2 Co 2.51, 3 Al 2.69-2.73
Al12 0.0000 0.0000 0.0000  2 Co 2.35
Co3 0.0000 0.9657 0.5942  9 Al 2.34-2.57
Co4 0.0000 0.3479 0.5961  9 Al 2.35-2.60
Al13 0.0000 0.1597 0.5445  3 Co 2.47-2.54
Al14 0.5000 0.8409 0.6208  2 Co 2.57, 5 Al 2.64-2.82
Al15 0.5000 0.9742 0.8683  2 Co 2.60, 7 Al 2.69-2.87
Al16 0.5000 0.4526 0.1796  2 Co 2.56, 6 Al 2.65-2.87
Co5 0.0000 0.8479 0.9039  9 Al 2.35-2.60
Al17 0.5000 0.8307 0.0080  2 Co 2.51, 3 Al 2.69-2.73
Al18 0.5000 0.5258 0.3683  2 Co 2.60, 7 Al 2.69-2.87
Nd4 0.0000 0.3403 0.3190  13 Al 3.14-3.36
Al19 0.5000 0.5474 0.8204  2 Co 2.56, 6 Al 2.65-2.87
Al20 0.5000 0.6693 0.5080  2 Co 2.51, 3 Al 2.69-2.73
Al21 0.5000 0.3409 0.8792  2 Co 2.57, 5 Al 2.64-2.82
Al22 0.5000 0.1693 0.9920  2 Co 2.51, 3 Al 2.69-2.73
Co6 0.0000 0.5343 0.0942  9 Al 2.34-2.57
Al23 0.0000 0.5000 0.5000  2 Co 2.35
Co7 0.0000 0.6521 0.4039  9 Al 2.35-2.60
Al24 0.5000 0.2640 0.6726  2 Co 2.51, 3 Al 2.69-2.73
Al25 0.5000 0.7640 0.8274  2 Co 2.51, 3 Al 2.69-2.73
Al26 0.0000 0.8403 0.4555  3 Co 2.47-2.54
Al27 0.5000 0.0000 0.5000  4 Co 2.46, 4 Al 2.64-2.65
Al28 0.0000 0.5963 0.2473  2 Co 2.34-2.36
Al29 0.5000 0.9526 0.3204  2 Co 2.56, 6 Al 2.65-2.87
Al30 0.0000 0.9037 0.7473  2 Co 2.34-2.36
Al31 0.5000 0.7360 0.3274  2 Co 2.51, 3 Al 2.69-2.73
Al32 0.5000 0.0258 0.1317  2 Co 2.60, 7 Al 2.69-2.87
Co8 0.0000 0.4657 0.9058  9 Al 2.34-2.57

Values from the calculation:
Volume (Å³ per cell): 719.78
Formation energy from the elements (eV per formula unit): -5.2